Record 1
DFT (GGA-PBE) results for La15Dy4In after structural relaxation.

Values from the calculation:
- D(E_F) (states/eV per cell) = 27.34
- total DFT energy (no corrections) (eV/cell) = -96.0
- formation energy from the elements (eV/atom) = -0.05
- calculated density (Mg/m³) = 6.80

Cell and atoms, written as POSCAR:
```
La15Dy4In
1.0
5.170 0.000 0.000
0.000 5.170 0.000
0.000 0.000 26.028
La Dy In
15 4 1
direct
0.000 0.000 0.000 La
0.000 0.000 0.199 La
0.000 0.000 0.399 La
0.000 0.000 0.601 La
0.000 0.000 0.801 La
0.000 0.500 0.097 La
0.000 0.500 0.299 La
0.000 0.500 0.500 La
0.000 0.500 0.701 La
0.000 0.500 0.903 La
0.500 0.000 0.097 La
0.500 0.000 0.299 La
0.500 0.000 0.500 La
0.500 0.000 0.701 La
0.500 0.000 0.903 La
0.500 0.500 0.198 Dy
0.500 0.500 0.400 Dy
0.500 0.500 0.600 Dy
0.500 0.500 0.802 Dy
0.500 0.500 0.000 In
```

=====

Record 2
DFT (GGA-PBE) results for Cu2AgAu2 after structural relaxation.

Values from the calculation:
- D(E_F) (states/eV per cell) = 2.01
- total DFT energy (no corrections) (eV/cell) = -35.0
- energy above the lowest structure with this stoichiometry (eV per atom) = 0.000
- formation energy from the elements (eV/atom) = 0.02
- calculated density (Mg/m³) = 12.93

Cell and atoms, written as POSCAR:
```
Cu2AgAu2
1.0
7.358 0.000 0.000
0.000 7.358 0.000
0.000 0.000 2.984
Cu Ag Au
4 2 4
direct
0.122 0.378 0.000 Cu
0.378 0.878 0.000 Cu
0.622 0.122 0.000 Cu
0.878 0.622 0.000 Cu
0.000 0.000 0.000 Ag
0.500 0.500 0.000 Ag
0.173 0.673 0.500 Au
0.327 0.173 0.500 Au
0.673 0.827 0.500 Au
0.827 0.327 0.500 Au
```

=====

Record 3
DFT (GGA-PBE) results for ErTmCu10 after structural relaxation.

Values from the calculation:
- D(E_F) (states/eV per cell) = 7.77
- total DFT energy (no corrections) (eV/cell) = -52.3
- formation energy from the elements (eV/atom) = -0.19
- calculated density (Mg/m³) = 9.10

Cell and atoms, written as POSCAR:
```
ErTmCu10
1.0
4.095 0.000 0.000
0.000 5.023 0.000
0.000 0.000 8.618
Er Tm Cu
1 1 10
direct
0.000 0.000 0.000 Er
0.000 0.500 0.500 Tm
0.000 0.000 0.334 Cu
0.000 0.000 0.666 Cu
0.000 0.500 0.167 Cu
0.000 0.500 0.833 Cu
0.500 0.000 0.500 Cu
0.500 0.250 0.250 Cu
0.500 0.250 0.750 Cu
0.500 0.500 0.000 Cu
0.500 0.750 0.250 Cu
0.500 0.750 0.750 Cu
```

=====

Record 4
DFT (GGA-PBE) results for Ta4SiP after structural relaxation.

Values from the calculation:
- D(E_F) (states/eV per cell) = 7.45
- total DFT energy (no corrections) (eV/cell) = -123.6
- energy above the lowest structure with this stoichiometry (eV per atom) = 0.000
- calculated density (Mg/m³) = 13.58

Cell and atoms, written as POSCAR:
```
Ta4SiP
1.0
6.101 0.000 0.000
0.000 6.101 0.000
0.000 0.000 5.143
Ta Si P
8 2 2
direct
0.161 0.331 0.000 Ta
0.161 0.669 0.500 Ta
0.331 0.161 0.500 Ta
0.331 0.839 0.000 Ta
0.669 0.161 0.000 Ta
0.669 0.839 0.500 Ta
0.839 0.331 0.500 Ta
0.839 0.669 0.000 Ta
0.500 0.500 0.250 Si
0.500 0.500 0.750 Si
0.000 0.000 0.250 P
0.000 0.000 0.750 P
```

=====

Record 5
DFT (GGA-PBE) results for K3AgI2O9 after structural relaxation.

Values from the calculation:
- D(E_F) (states/eV per cell) = 12.82
- total DFT energy (no corrections) (eV/cell) = -64.5
- calculated density (Mg/m³) = 4.69

Cell and atoms, written as POSCAR:
```
K3AgI2O9
1.0
5.867 0.000 0.000
-2.933 5.081 0.000
0.000 0.000 7.397
K Ag I O
3 1 2 9
direct
0.000 0.000 0.000 K
0.333 0.667 0.665 K
0.667 0.333 0.335 K
0.000 0.000 0.500 Ag
0.333 0.667 0.172 I
0.667 0.333 0.828 I
0.000 0.500 0.000 O
0.176 0.352 0.301 O
0.176 0.824 0.301 O
0.352 0.176 0.699 O
0.500 0.000 0.000 O
0.500 0.500 0.000 O
0.648 0.824 0.301 O
0.824 0.176 0.699 O
0.824 0.648 0.699 O
```

=====

Record 6
DFT (GGA-PBE) results for CdRe2Te after structural relaxation.

Values from the calculation:
- D(E_F) (states/eV per cell) = 3.09
- total DFT energy (no corrections) (eV/cell) = -25.5
- energy above the lowest structure with this stoichiometry (eV per atom) = 0.474
- calculated density (Mg/m³) = 11.59

Cell and atoms, written as POSCAR:
```
CdRe2Te
1.0
3.856 0.000 0.000
0.000 4.756 0.000
-0.684 0.000 4.784
Cd Re Te
1 2 1
direct
0.000 0.000 0.000 Cd
0.320 0.500 0.169 Re
0.680 0.500 0.831 Re
0.500 0.000 0.500 Te
```

=====

Record 7
DFT (GGA-PBE) results for BaPu2ZnP4 after structural relaxation.

Values from the calculation:
- D(E_F) (states/eV per cell) = 40.48
- total DFT energy (no corrections) (eV/cell) = -120.9
- formation energy from the elements (eV/atom) = -0.87
- calculated density (Mg/m³) = 7.08

Cell and atoms, written as POSCAR:
```
BaPu2ZnP4
1.0
2.049 -6.882 0.000
2.049 6.882 0.000
0.000 0.000 13.550
Ba Pu Zn P
2 4 2 8
direct
0.112 0.888 0.750 Ba
0.888 0.112 0.250 Ba
0.370 0.630 0.557 Pu
0.370 0.630 0.943 Pu
0.630 0.370 0.057 Pu
0.630 0.370 0.443 Pu
0.159 0.841 0.250 Zn
0.841 0.159 0.750 Zn
0.000 0.000 0.000 P
0.000 0.000 0.500 P
0.257 0.743 0.106 P
0.257 0.743 0.394 P
0.434 0.566 0.750 P
0.566 0.434 0.250 P
0.743 0.257 0.606 P
0.743 0.257 0.894 P
```

=====

Record 8
DFT (GGA-PBE) results for TaGa2Au2 after structural relaxation.

Values from the calculation:
- D(E_F) (states/eV per cell) = 7.81
- total DFT energy (no corrections) (eV/cell) = -47.7
- energy above the lowest structure with this stoichiometry (eV per atom) = 0.080
- formation energy from the elements (eV/atom) = 0.12
- calculated density (Mg/m³) = 13.48

Cell and atoms, written as POSCAR:
```
TaGa2Au2
1.0
7.575 0.000 0.000
0.000 7.575 0.000
0.000 0.000 3.068
Ta Ga Au
2 4 4
direct
0.000 0.000 0.000 Ta
0.500 0.500 0.000 Ta
0.174 0.326 0.500 Ga
0.326 0.826 0.500 Ga
0.674 0.174 0.500 Ga
0.826 0.674 0.500 Ga
0.131 0.631 0.000 Au
0.369 0.131 0.000 Au
0.631 0.869 0.000 Au
0.869 0.369 0.000 Au
```

=====

Repeat the second record exactly.
DFT (GGA-PBE) results for Cu2AgAu2 after structural relaxation.

Values from the calculation:
- D(E_F) (states/eV per cell) = 2.01
- total DFT energy (no corrections) (eV/cell) = -35.0
- energy above the lowest structure with this stoichiometry (eV per atom) = 0.000
- formation energy from the elements (eV/atom) = 0.02
- calculated density (Mg/m³) = 12.93

Cell and atoms, written as POSCAR:
```
Cu2AgAu2
1.0
7.358 0.000 0.000
0.000 7.358 0.000
0.000 0.000 2.984
Cu Ag Au
4 2 4
direct
0.122 0.378 0.000 Cu
0.378 0.878 0.000 Cu
0.622 0.122 0.000 Cu
0.878 0.622 0.000 Cu
0.000 0.000 0.000 Ag
0.500 0.500 0.000 Ag
0.173 0.673 0.500 Au
0.327 0.173 0.500 Au
0.673 0.827 0.500 Au
0.827 0.327 0.500 Au
```

=====

Which of these has the lowest total DFT energy (no corrections)?
Ta4SiP

=====

Which value of D(E_F) does entry 4 give?
7.45 states/eV per cell